Compound: NpGeCl6
Source: Alexandria via LeMat-Bulk
Functional: PBE-GGA
Structure: optimized geometry

Symmetry: R-3
ΔE_f (raw) (eV/atom): -1.290

Unit cell a=6.7133 b=6.7161 c=7.2075 alpha=62.25 beta=62.21 gamma=59.96
Closest atoms and distances in Å follow each position.
Atoms (fractional coordinates):
Np (0.0000, 0.0000, 0.0000)  6 Cl 2.62
Ge (0.5000, 0.5000, 0.5000)  6 Cl 2.68
Cl (0.1001, 0.3931, 0.7514)  1 Np 2.62, 1 Ge 2.68
Cl (0.7549, 0.1000, 0.7518)  1 Np 2.62, 1 Ge 2.68
Cl (0.6064, 0.2450, 0.2485)  1 Np 2.62, 1 Ge 2.68
Cl (0.2451, 0.9000, 0.2482)  1 Np 2.62, 1 Ge 2.68
Cl (0.8999, 0.6069, 0.2486)  1 Np 2.62, 1 Ge 2.68
Cl (0.3936, 0.7550, 0.7515)  1 Np 2.62, 1 Ge 2.68